! TlHg2Cl | the Alexandria database | meta-GGA SCAN | single point on PBEsol structure; values from VASP
! excess energy over the best structure of this formula in the dataset = 0.0 kJ per mole of atoms
! uncorrected formation energy = -0.472 eV/atom
! E = -218.557 eV for the cell shown
! V = 109 Å³/cell
&SYSTEM
  ibrav = 0, nat = 4, ntyp = 3
/
ATOMIC_SPECIES
Tl 204.38 Tl.upf
Hg 200.59 Hg.upf
Cl 35.45 Cl.upf
CELL_PARAMETERS angstrom
4.428 0.000 0.000
0.000 4.066 0.000
-2.176 0.000 6.064
ATOMIC_POSITIONS angstrom
Tl 0.000 0.000 0.000
Hg 0.019 2.033 2.637
Hg 2.231 0.000 2.883
Cl 0.038 2.033 5.592